Entry 1:
Below is a relaxed NaCd2Ga2Au2 crystal, with properties calculated at the PBE level.

a = 8.722 Å, b = 8.722 Å, c = 8.722 Å
α = 30.08°, β = 30.08°, γ = 30.08°
Fractional positions:
1 Na 0.000 0.000 0.000
2 Cd 0.135 0.135 0.135
3 Cd 0.865 0.865 0.865
4 Ga 0.263 0.263 0.263
5 Ga 0.737 0.737 0.737
6 Au 0.408 0.408 0.408
7 Au 0.592 0.592 0.592

Energy relative to the elements = -0.189 eV per atom
Fermi-level density of states = 2.47 states/eV per cell
VASP energy = -2.440 eV per atom
Spin magnetization = 0.00 Bohr magnetons per cell

---

Entry 2:
Below is a relaxed Na2CdGaAu2 crystal, with properties calculated at the PBE level.

a = 4.681 Å, b = 8.036 Å, c = 7.030 Å
α = 90.00°, β = 90.00°, γ = 90.00°
Fractional positions:
1 Na 0.000 0.114 0.000
2 Na 0.000 0.886 0.500
3 Na 0.500 0.161 0.309
4 Na 0.500 0.839 0.809
5 Cd 0.500 0.461 0.009
6 Cd 0.500 0.539 0.509
7 Ga 0.000 0.278 0.603
8 Ga 0.000 0.722 0.103
9 Au 0.000 0.420 0.271
10 Au 0.000 0.580 0.771
11 Au 0.500 0.199 0.726
12 Au 0.500 0.801 0.226

Energy relative to the elements = -0.270 eV per atom
Fermi-level density of states = 3.26 states/eV per cell
VASP energy = -2.459 eV per atom
Spin magnetization = 0.00 Bohr magnetons per cell

---

Entry 3:
Below is a relaxed NaCd2GaAu4 crystal, with properties calculated at the PBE level.

a = 8.216 Å, b = 8.216 Å, c = 8.216 Å
α = 33.96°, β = 33.96°, γ = 33.96°
Fractional positions:
1 Na 0.000 0.000 0.000
2 Cd 0.259 0.259 0.259
3 Cd 0.741 0.741 0.741
4 Ga 0.500 0.500 0.500
5 Au 0.132 0.132 0.132
6 Au 0.386 0.386 0.386
7 Au 0.614 0.614 0.614
8 Au 0.868 0.868 0.868

Energy relative to the elements = -0.192 eV per atom
Fermi-level density of states = 2.24 states/eV per cell
VASP energy = -2.602 eV per atom
Spin magnetization = 0.00 Bohr magnetons per cell

---

Entry 4:
Below is a relaxed Na2CdGa2Au5 crystal, with properties calculated at the PBE level.

a = 11.107 Å, b = 11.107 Å, c = 3.309 Å
α = 90.00°, β = 90.00°, γ = 90.00°
Fractional positions:
1 Na 0.173 0.327 0.000
2 Na 0.327 0.827 0.000
3 Na 0.673 0.173 0.000
4 Na 0.827 0.673 0.000
5 Cd 0.000 0.000 0.000
6 Cd 0.500 0.500 0.000
7 Ga 0.131 0.631 0.000
8 Ga 0.369 0.131 0.000
9 Ga 0.631 0.869 0.000
10 Ga 0.869 0.369 0.000
11 Au 0.000 0.500 0.500
12 Au 0.065 0.801 0.500
13 Au 0.199 0.065 0.500
14 Au 0.301 0.565 0.500
15 Au 0.435 0.301 0.500
16 Au 0.500 0.000 0.500
17 Au 0.565 0.699 0.500
18 Au 0.699 0.435 0.500
19 Au 0.801 0.935 0.500
20 Au 0.935 0.199 0.500

Energy relative to the elements = -0.270 eV per atom
Fermi-level density of states = 3.08 states/eV per cell
VASP energy = -2.870 eV per atom
Spin magnetization = 0.00 Bohr magnetons per cell

---

Entry 5:
Below is a relaxed Nd2CdGa3Au4 crystal, with properties calculated at the PBE level.

a = 4.457 Å, b = 4.457 Å, c = 10.862 Å
α = 90.00°, β = 90.00°, γ = 90.00°
Fractional positions:
1 Nd 0.000 0.500 0.241
2 Nd 0.500 0.000 0.759
3 Cd 0.000 0.000 0.500
4 Ga 0.000 0.500 0.873
5 Ga 0.500 0.000 0.127
6 Ga 0.500 0.500 0.500
7 Au 0.000 0.000 0.000
8 Au 0.000 0.500 0.645
9 Au 0.500 0.000 0.355
10 Au 0.500 0.500 0.000

Energy relative to the elements = -0.586 eV per atom
Fermi-level density of states = 5.90 states/eV per cell
VASP energy = -3.850 eV per atom
Spin magnetization = 0.00 Bohr magnetons per cell

---

Entry 6:
Below is a relaxed Nd4CdGaAu2 crystal, with properties calculated at the PBE level.

a = 9.306 Å, b = 9.306 Å, c = 9.306 Å
α = 32.94°, β = 32.94°, γ = 32.94°
Fractional positions:
1 Nd 0.119 0.119 0.119
2 Nd 0.371 0.371 0.371
3 Nd 0.629 0.629 0.629
4 Nd 0.881 0.881 0.881
5 Cd 0.500 0.500 0.500
6 Ga 0.000 0.000 0.000
7 Au 0.239 0.239 0.239
8 Au 0.761 0.761 0.761

Energy relative to the elements = -0.567 eV per atom
Fermi-level density of states = 7.84 states/eV per cell
VASP energy = -4.263 eV per atom
Spin magnetization = 0.90 Bohr magnetons per cell

---

Entry 7:
Below is a relaxed NdCdGaAu crystal, with properties calculated at the PBE level.

a = 5.010 Å, b = 5.010 Å, c = 5.010 Å
α = 60.00°, β = 60.00°, γ = 60.00°
Fractional positions:
1 Nd 0.000 0.000 0.000
2 Cd 0.500 0.500 0.500
3 Ga 0.750 0.750 0.750
4 Au 0.250 0.250 0.250

Energy relative to the elements = -0.525 eV per atom
Fermi-level density of states = 2.50 states/eV per cell
VASP energy = -3.521 eV per atom
Spin magnetization = 0.00 Bohr magnetons per cell

---

Entry 8:
Below is a relaxed NdCdGa2Au4 crystal, with properties calculated at the PBE level.

a = 9.832 Å, b = 9.832 Å, c = 9.832 Å
α = 26.43°, β = 26.43°, γ = 26.43°
Fractional positions:
1 Nd 0.000 0.000 0.000
2 Cd 0.500 0.500 0.500
3 Ga 0.250 0.250 0.250
4 Ga 0.750 0.750 0.750
5 Au 0.121 0.121 0.121
6 Au 0.394 0.394 0.394
7 Au 0.606 0.606 0.606
8 Au 0.879 0.879 0.879

Energy relative to the elements = -0.403 eV per atom
Fermi-level density of states = 4.78 states/eV per cell
VASP energy = -3.509 eV per atom
Spin magnetization = 0.00 Bohr magnetons per cell

---

Entry 9:
Below is a relaxed CdGa2NiAu crystal, with properties calculated at the PBE level.

a = 4.498 Å, b = 4.498 Å, c = 5.080 Å
α = 90.00°, β = 90.00°, γ = 90.00°
Fractional positions:
1 Cd 0.000 0.000 0.000
2 Ga 0.000 0.500 0.500
3 Ga 0.500 0.000 0.500
4 Ni 0.500 0.500 0.500
5 Au 0.500 0.500 0.000

Energy relative to the elements = 0.023 eV per atom
Fermi-level density of states = 1.89 states/eV per cell
VASP energy = -3.182 eV per atom
Spin magnetization = 0.00 Bohr magnetons per cell

---

Entry 10:
Below is a relaxed NpCdGaAu crystal, with properties calculated at the PBE level.

a = 4.939 Å, b = 4.939 Å, c = 4.939 Å
α = 60.00°, β = 60.00°, γ = 60.00°
Fractional positions:
1 Np 0.000 0.000 0.000
2 Cd 0.500 0.500 0.500
3 Ga 0.750 0.750 0.750
4 Au 0.250 0.250 0.250

Energy relative to the elements = -0.105 eV per atom
Fermi-level density of states = 6.93 states/eV per cell
VASP energy = -5.145 eV per atom
Spin magnetization = 4.03 Bohr magnetons per cell

---

Entry 11:
Below is a relaxed CdGa2AuO6 crystal, with properties calculated at the PBE level.

a = 7.180 Å, b = 7.180 Å, c = 6.014 Å
α = 104.86°, β = 104.86°, γ = 83.10°
Fractional positions:
1 Cd 0.097 0.903 0.750
2 Cd 0.903 0.097 0.250
3 Ga 0.219 0.378 0.858
4 Ga 0.378 0.219 0.358
5 Ga 0.622 0.781 0.642
6 Ga 0.781 0.622 0.142
7 Au 0.267 0.733 0.250
8 Au 0.733 0.267 0.750
9 O 0.022 0.214 0.686
10 O 0.168 0.642 0.897
11 O 0.214 0.022 0.186
12 O 0.283 0.410 0.191
13 O 0.358 0.832 0.603
14 O 0.410 0.283 0.691
15 O 0.590 0.717 0.309
16 O 0.642 0.168 0.397
17 O 0.717 0.590 0.809
18 O 0.786 0.978 0.814
19 O 0.832 0.358 0.103
20 O 0.978 0.786 0.314

Fermi-level density of states = 5.19 states/eV per cell
VASP energy = -4.999 eV per atom
Raw formation energy = -10.0 eV per formula unit
Spin magnetization = 0.00 Bohr magnetons per cell

---

Entry 12:
Below is a relaxed CdGaAu2O6 crystal, with properties calculated at the PBE level.

a = 6.908 Å, b = 6.908 Å, c = 7.161 Å
α = 108.74°, β = 108.74°, γ = 67.57°
Fractional positions:
1 Cd 0.239 0.761 0.750
2 Cd 0.761 0.239 0.250
3 Ga 0.175 0.825 0.250
4 Ga 0.825 0.175 0.750
5 Au 0.262 0.341 0.911
6 Au 0.341 0.262 0.411
7 Au 0.659 0.738 0.589
8 Au 0.738 0.659 0.089
9 O 0.115 0.116 0.251
10 O 0.116 0.115 0.751
11 O 0.198 0.422 0.647
12 O 0.302 0.638 0.037
13 O 0.362 0.698 0.463
14 O 0.422 0.198 0.147
15 O 0.578 0.802 0.853
16 O 0.638 0.302 0.537
17 O 0.698 0.362 0.963
18 O 0.802 0.578 0.353
19 O 0.884 0.885 0.249
20 O 0.885 0.884 0.749

Fermi-level density of states = 12.78 states/eV per cell
VASP energy = -4.560 eV per atom
Raw formation energy = -5.3 eV per formula unit
Spin magnetization = 0.00 Bohr magnetons per cell

---

Entry 13:
Below is a relaxed Cd2GaPbAu4 crystal, with properties calculated at the PBE level.

a = 9.200 Å, b = 9.200 Å, c = 9.200 Å
α = 29.54°, β = 29.54°, γ = 29.54°
Fractional positions:
1 Cd 0.247 0.247 0.247
2 Cd 0.753 0.753 0.753
3 Ga 0.500 0.500 0.500
4 Pb 0.000 0.000 0.000
5 Au 0.134 0.134 0.134
6 Au 0.392 0.392 0.392
7 Au 0.608 0.608 0.608
8 Au 0.866 0.866 0.866

Energy relative to the elements = -0.099 eV per atom
Fermi-level density of states = 2.05 states/eV per cell
VASP energy = -2.808 eV per atom
Spin magnetization = 0.00 Bohr magnetons per cell

---

Entry 14:
Below is a relaxed Cd2GaPb2Au4 crystal, with properties calculated at the PBE level.

a = 6.556 Å, b = 6.556 Å, c = 6.556 Å
α = 117.31°, β = 117.31°, γ = 94.72°
Fractional positions:
1 Cd 0.197 0.197 0.000
2 Cd 0.803 0.803 0.000
3 Ga 0.500 0.500 0.000
4 Pb 0.250 0.750 0.500
5 Pb 0.750 0.250 0.500
6 Au 0.235 0.235 0.470
7 Au 0.235 0.765 0.000
8 Au 0.765 0.235 0.000
9 Au 0.765 0.765 0.530

Energy relative to the elements = -0.033 eV per atom
Fermi-level density of states = 2.74 states/eV per cell
VASP energy = -2.853 eV per atom
Spin magnetization = 0.00 Bohr magnetons per cell

---

Entry 15:
Below is a relaxed CdGaPb2Au6 crystal, with properties calculated at the PBE level.

a = 4.345 Å, b = 6.929 Å, c = 8.606 Å
α = 66.72°, β = 89.95°, γ = 71.77°
Fractional positions:
1 Cd 0.000 0.000 0.000
2 Ga 0.500 0.000 0.500
3 Pb 0.230 0.540 0.812
4 Pb 0.770 0.460 0.188
5 Au 0.058 0.885 0.366
6 Au 0.289 0.422 0.431
7 Au 0.431 0.138 0.150
8 Au 0.569 0.862 0.850
9 Au 0.711 0.578 0.569
10 Au 0.942 0.115 0.634

Energy relative to the elements = -0.095 eV per atom
Fermi-level density of states = 3.03 states/eV per cell
VASP energy = -3.197 eV per atom
Spin magnetization = 0.00 Bohr magnetons per cell

---

Entry 16:
Below is a relaxed CdGa2Pb2Au7 crystal, with properties calculated at the PBE level.

a = 4.271 Å, b = 4.271 Å, c = 14.112 Å
α = 95.01°, β = 95.01°, γ = 86.24°
Fractional positions:
1 Cd 0.000 0.000 0.000
2 Ga 0.430 0.430 0.740
3 Ga 0.570 0.570 0.260
4 Pb 0.097 0.097 0.360
5 Pb 0.903 0.903 0.640
6 Au 0.041 0.540 0.150
7 Au 0.334 0.334 0.558
8 Au 0.460 0.959 0.850
9 Au 0.500 0.500 0.000
10 Au 0.540 0.041 0.150
11 Au 0.666 0.666 0.442
12 Au 0.959 0.460 0.850

Energy relative to the elements = -0.101 eV per atom
Fermi-level density of states = 4.01 states/eV per cell
VASP energy = -3.212 eV per atom
Spin magnetization = 0.00 Bohr magnetons per cell

---

Entry 17:
Below is a relaxed CdGa2PdAu crystal, with properties calculated at the PBE level.

a = 4.796 Å, b = 4.796 Å, c = 5.309 Å
α = 90.00°, β = 90.00°, γ = 90.00°
Fractional positions:
1 Cd 0.000 0.000 0.000
2 Ga 0.000 0.500 0.500
3 Ga 0.500 0.000 0.500
4 Pd 0.500 0.500 0.000
5 Au 0.500 0.500 0.500

Energy relative to the elements = 0.266 eV per atom
Fermi-level density of states = 2.85 states/eV per cell
VASP energy = -2.822 eV per atom
Spin magnetization = 0.00 Bohr magnetons per cell

---

Entry 18:
Below is a relaxed Pm2CdGaAu4 crystal, with properties calculated at the PBE level.

a = 8.433 Å, b = 8.433 Å, c = 8.433 Å
α = 34.84°, β = 34.84°, γ = 34.84°
Fractional positions:
1 Pm 0.250 0.250 0.250
2 Pm 0.750 0.750 0.750
3 Cd 0.500 0.500 0.500
4 Ga 0.000 0.000 0.000
5 Au 0.119 0.119 0.119
6 Au 0.377 0.377 0.377
7 Au 0.623 0.623 0.623
8 Au 0.881 0.881 0.881

Energy relative to the elements = -0.642 eV per atom
Fermi-level density of states = 3.67 states/eV per cell
VASP energy = -3.961 eV per atom
Spin magnetization = 0.00 Bohr magnetons per cell

---

Entry 19:
Below is a relaxed Pm2CdGa4Au3 crystal, with properties calculated at the PBE level.

a = 4.351 Å, b = 4.351 Å, c = 11.072 Å
α = 90.00°, β = 90.00°, γ = 90.00°
Fractional positions:
1 Pm 0.000 0.500 0.247
2 Pm 0.500 0.000 0.753
3 Cd 0.000 0.000 0.500
4 Ga 0.000 0.000 0.000
5 Ga 0.000 0.500 0.643
6 Ga 0.500 0.000 0.357
7 Ga 0.500 0.500 0.000
8 Au 0.000 0.500 0.869
9 Au 0.500 0.000 0.131
10 Au 0.500 0.500 0.500

Energy relative to the elements = -0.588 eV per atom
Fermi-level density of states = 5.77 states/eV per cell
VASP energy = -3.824 eV per atom
Spin magnetization = 0.00 Bohr magnetons per cell

---

Entry 20:
Below is a relaxed PmCdGa2Au5 crystal, with properties calculated at the PBE level.

a = 4.467 Å, b = 4.467 Å, c = 8.916 Å
α = 90.00°, β = 90.00°, γ = 90.00°
Fractional positions:
1 Pm 0.000 0.000 0.000
2 Cd 0.000 0.000 0.500
3 Ga 0.500 0.500 0.137
4 Ga 0.500 0.500 0.863
5 Au 0.000 0.500 0.281
6 Au 0.000 0.500 0.719
7 Au 0.500 0.000 0.281
8 Au 0.500 0.000 0.719
9 Au 0.500 0.500 0.500

Energy relative to the elements = -0.412 eV per atom
Fermi-level density of states = 5.45 states/eV per cell
VASP energy = -3.534 eV per atom
Spin magnetization = 0.00 Bohr magnetons per cell

---

Entry 21:
Below is a relaxed Pm2CdGa3Au4 crystal, with properties calculated at the PBE level.

a = 4.431 Å, b = 4.431 Å, c = 10.901 Å
α = 90.00°, β = 90.00°, γ = 90.00°
Fractional positions:
1 Pm 0.000 0.500 0.240
2 Pm 0.500 0.000 0.760
3 Cd 0.000 0.000 0.500
4 Ga 0.000 0.500 0.873
5 Ga 0.500 0.000 0.127
6 Ga 0.500 0.500 0.500
7 Au 0.000 0.000 0.000
8 Au 0.000 0.500 0.646
9 Au 0.500 0.000 0.354
10 Au 0.500 0.500 0.000

Energy relative to the elements = -0.578 eV per atom
Fermi-level density of states = 6.08 states/eV per cell
VASP energy = -3.839 eV per atom
Spin magnetization = 0.00 Bohr magnetons per cell

---

Entry 22:
Below is a relaxed PmCdGaAu crystal, with properties calculated at the PBE level.

a = 4.984 Å, b = 4.984 Å, c = 4.984 Å
α = 60.00°, β = 60.00°, γ = 60.00°
Fractional positions:
1 Pm 0.000 0.000 0.000
2 Cd 0.500 0.500 0.500
3 Ga 0.250 0.250 0.250
4 Au 0.750 0.750 0.750

Energy relative to the elements = -0.529 eV per atom
Fermi-level density of states = 2.50 states/eV per cell
VASP energy = -3.522 eV per atom
Spin magnetization = 0.00 Bohr magnetons per cell

---

Entry 23:
Below is a relaxed PrCdGa2Au2 crystal, with properties calculated at the PBE level.

a = 4.507 Å, b = 4.507 Å, c = 7.232 Å
α = 90.00°, β = 90.00°, γ = 120.00°
Fractional positions:
1 Pr 0.000 0.000 0.000
2 Cd 0.000 0.000 0.500
3 Ga 0.333 0.667 0.732
4 Ga 0.667 0.333 0.268
5 Au 0.333 0.667 0.290
6 Au 0.667 0.333 0.710

Energy relative to the elements = -0.519 eV per atom
Fermi-level density of states = 2.54 states/eV per cell
VASP energy = -3.570 eV per atom
Spin magnetization = 0.00 Bohr magnetons per cell